VASP calculation (PBE) on an optimized crystal structure of CuBiSb2.

Summary:
formation energy (no corrections)	117	meV/atom
spin magnetization	0.000	μB per atom
energy above the lowest structure with this stoichiometry	5	meV/atom

a b c (Å): 4.2254 4.2254 7.1866
angles (deg): 72.90 72.90 60.00
Element x y z (fractional)
Sb (0.0593, 0.0593, 0.8222)
Bi (0.5033, 0.5033, 0.4900)
Cu (0.6664, 0.6664, 0.0009)
Sb (0.2710, 0.2710, 0.1869)

VASP calculation (PBE) on an optimized crystal structure of TaNb2Au2.

Summary:
formation energy	362	meV per atom
spin magnetization	0.000	μB per atom
energy above the lowest structure with this stoichiometry	392	meV/atom

a b c (Å): 3.7457 3.7457 7.2974
angles (deg): 75.13 75.13 90.00
Element x y z (fractional)
Nb (0.2500, 0.7500, 0.5000)
Nb (0.7500, 0.2500, 0.5000)
Au (0.4051, 0.4051, 0.1899)
Ta (0.0000, 0.0000, 0.0000)
Au (0.5949, 0.5949, 0.8101)

VASP calculation (PBE) on an optimized crystal structure of LiBi2As2Pb2O10.

Summary:
formation energy (no corrections)	-1257	meV/atom
spin magnetization	0.059	μB per atom
energy above the lowest structure with this stoichiometry	12	meV/atom

a b c (Å): 6.1657 7.3612 7.2559
angles (deg): 110.37 106.41 92.42
Last column: magnetic moment on the atom in μB.
Element x y z (fractional)
O (0.5664, 0.8343, 0.3754)  0.05
O (0.0482, 0.1983, 0.7024)  0.00
As (0.2396, 0.3281, 0.6411)  0.00
O (0.4967, 0.2372, 0.6778)  0.00
Bi (0.1196, 0.2764, 0.0638)  0.01
Pb (0.6712, 0.1379, 0.3149)  0.00
O (0.1078, 0.3110, 0.3929)  0.00
O (0.8671, 0.6567, 0.1530)  0.17
Pb (0.4848, 0.9003, 0.7008)  0.01
O (0.8302, 0.0330, 0.9879)  0.01
O (0.3149, 0.5678, 0.8177)  0.01
O (0.5503, 0.4268, 0.2058)  0.05
O (0.3044, 0.0349, 0.0418)  0.03
O (0.7649, 0.6602, 0.6437)  0.20
Bi (0.0291, 0.7727, 0.9571)  0.05
As (0.7441, 0.6515, 0.3666)  0.19
Li (0.5988, 0.4727, 0.9574)  0.00

VASP calculation (PBE) on an optimized crystal structure of CuW5.

Summary:
formation energy	451	meV per atom
spin magnetization	0.000	μB per atom
energy above the lowest structure with this stoichiometry	82	meV/atom

a b c (Å): 4.8793 4.8793 4.5902
angles (deg): 90.00 90.00 120.00
Element x y z (fractional)
W (0.6683, 0.0000, 0.0000)
W (0.3317, 0.3317, 0.0000)
W (0.3333, 0.6667, 0.5000)
W (0.6667, 0.3333, 0.5000)
Cu (0.0000, 0.0000, 0.5000)
W (0.0000, 0.6683, 0.0000)